Record 1
# GGA-PBE LiErPbI6, relaxed
# Formation energy from raw total energies = -1.0579 eV/atom
data_LiErPbI6
_chemical_formula_sum 'Li2 Er2 Pb2 I12'
_space_group_name_H-M_alt 'P 1'
_space_group_IT_number 1
_cell_length_a 7.6852
_cell_length_b 7.6852
_cell_length_c 14.1258
_cell_angle_alpha 90.00
_cell_angle_beta 90.00
_cell_angle_gamma 120.00
loop_
_space_group_symop_operation_xyz
'x,y,z'
loop_
_atom_site_label
_atom_site_type_symbol
_atom_site_fract_x
_atom_site_fract_y
_atom_site_fract_z
Li1 Li 0.3333 0.6667 0.2500
Li2 Li 0.6667 0.3333 0.7500
Er1 Er 0.3333 0.6667 0.7500
Er2 Er 0.6667 0.3333 0.2500
Pb1 Pb 0.0000 0.0000 0.0000
Pb2 Pb 0.0000 0.0000 0.5000
I1 I 0.0014 0.3552 0.1294
I2 I 0.0014 0.6462 0.3706
I3 I 0.3538 0.3552 0.3706
I4 I 0.3538 0.9986 0.1294
I5 I 0.3552 0.0014 0.6294
I6 I 0.3552 0.3538 0.8706
I7 I 0.6448 0.6462 0.1294
I8 I 0.6448 0.9986 0.3706
I9 I 0.6462 0.0014 0.8706
I10 I 0.6462 0.6448 0.6294
I11 I 0.9986 0.3538 0.6294
I12 I 0.9986 0.6448 0.8706

---

Record 2
# GGA-PBE SmInTe4, relaxed
# Formation energy from raw total energies = -0.6004 eV/atom
data_SmInTe4
_chemical_formula_sum 'Sm2 In2 Te8'
_space_group_name_H-M_alt 'P 1'
_space_group_IT_number 1
_cell_length_a 6.2956
_cell_length_b 10.0635
_cell_length_c 7.9118
_cell_angle_alpha 90.00
_cell_angle_beta 111.95
_cell_angle_gamma 90.00
loop_
_space_group_symop_operation_xyz
'x,y,z'
loop_
_atom_site_label
_atom_site_type_symbol
_atom_site_fract_x
_atom_site_fract_y
_atom_site_fract_z
Sm1 Sm 0.0985 0.2500 0.2005
Sm2 Sm 0.9015 0.7500 0.7995
In1 In 0.0876 0.7500 0.3418
In2 In 0.9124 0.2500 0.6582
Te1 Te 0.2204 0.5540 0.1241
Te2 Te 0.2204 0.9460 0.1241
Te3 Te 0.3353 0.2500 0.6256
Te4 Te 0.3473 0.7500 0.7129
Te5 Te 0.6527 0.2500 0.2871
Te6 Te 0.6647 0.7500 0.3744
Te7 Te 0.7796 0.0540 0.8759
Te8 Te 0.7796 0.4460 0.8759

---

Record 3
# GGA-PBE Pm4HoAl, relaxed
# Energy relative to the elements = -2.289 kcal/mol of atoms
# ΔE to the lowest computed polymorph = 0 meV per atom
data_Pm4HoAl
_chemical_formula_sum 'Pm4 Ho1 Al1'
_space_group_name_H-M_alt 'P 1'
_space_group_IT_number 1
_cell_length_a 3.5909
_cell_length_b 3.5909
_cell_length_c 14.4027
_cell_angle_alpha 90.00
_cell_angle_beta 90.00
_cell_angle_gamma 90.00
loop_
_space_group_symop_operation_xyz
'x,y,z'
loop_
_atom_site_label
_atom_site_type_symbol
_atom_site_fract_x
_atom_site_fract_y
_atom_site_fract_z
Pm1 Pm 0.0000 0.0000 0.1365
Pm2 Pm 0.0000 0.0000 0.8635
Pm3 Pm 0.5000 0.5000 0.3227
Pm4 Pm 0.5000 0.5000 0.6773
Ho1 Ho 0.0000 0.0000 0.5000
Al1 Al 0.5000 0.5000 0.0000

---

Record 4
# GGA-PBE K3Np3VTe8, relaxed
# Formation energy from raw total energies = -0.7386 eV/atom
data_K3Np3VTe8
_chemical_formula_sum 'K3 Np3 V1 Te8'
_space_group_name_H-M_alt 'P 1'
_space_group_IT_number 1
_cell_length_a 8.7555
_cell_length_b 8.7555
_cell_length_c 9.8367
_cell_angle_alpha 116.12
_cell_angle_beta 116.12
_cell_angle_gamma 60.44
loop_
_space_group_symop_operation_xyz
'x,y,z'
loop_
_atom_site_label
_atom_site_type_symbol
_atom_site_fract_x
_atom_site_fract_y
_atom_site_fract_z
K1 K 0.0000 0.0000 0.0000
K2 K 0.0000 0.5000 0.0000
K3 K 0.5000 0.0000 0.0000
Np1 Np 0.0000 0.5000 0.5000
Np2 Np 0.5000 0.0000 0.5000
Np3 Np 0.5000 0.5000 0.5000
V1 V 0.0000 0.0000 0.5000
Te1 Te 0.2203 0.7541 0.6950
Te2 Te 0.2216 0.2216 0.6953
Te3 Te 0.2459 0.7797 0.3050
Te4 Te 0.2620 0.2620 0.2861
Te5 Te 0.7380 0.7380 0.7139
Te6 Te 0.7541 0.2203 0.6950
Te7 Te 0.7784 0.7784 0.3047
Te8 Te 0.7797 0.2459 0.3050

---

Record 5
# GGA-PBE La4B2CI5, relaxed
# Formation energy from raw total energies = -1.1569 eV/atom
data_La4B2CI5
_chemical_formula_sum 'La8 B4 C2 I10'
_space_group_name_H-M_alt 'P 1'
_space_group_IT_number 1
_cell_length_a 12.3650
_cell_length_b 12.3650
_cell_length_c 19.1373
_cell_angle_alpha 125.70
_cell_angle_beta 125.70
_cell_angle_gamma 20.04
loop_
_space_group_symop_operation_xyz
'x,y,z'
loop_
_atom_site_label
_atom_site_type_symbol
_atom_site_fract_x
_atom_site_fract_y
_atom_site_fract_z
La1 La 0.0066 0.0066 0.0931
La2 La 0.0066 0.0066 0.3713
La3 La 0.3470 0.3470 0.8971
La4 La 0.3727 0.3727 0.4004
La5 La 0.6273 0.6273 0.5996
La6 La 0.6530 0.6530 0.1029
La7 La 0.9934 0.9934 0.6287
La8 La 0.9934 0.9934 0.9069
B1 B 0.1852 0.8148 0.5000
B2 B 0.4982 0.4982 0.5501
B3 B 0.5018 0.5018 0.4499
B4 B 0.8148 0.1852 0.5000
C1 C 0.4646 0.4646 0.9761
C2 C 0.5354 0.5354 0.0239
I1 I 0.1554 0.1554 0.9784
I2 I 0.1638 0.1638 0.7553
I3 I 0.1730 0.1730 0.5130
I4 I 0.1780 0.1780 0.2483
I5 I 0.4816 0.4816 0.7612
I6 I 0.5184 0.5184 0.2388
I7 I 0.8220 0.8220 0.7517
I8 I 0.8270 0.8270 0.4870
I9 I 0.8362 0.8362 0.2447
I10 I 0.8446 0.8446 0.0216

---

Record 6
# GGA-PBE Tm2LuCo, relaxed
# Energy relative to the elements = -1.846 kcal/mol of atoms
# ΔE to the lowest computed polymorph = 0 meV per atom
data_Tm2LuCo
_chemical_formula_sum 'Tm2 Lu1 Co1'
_space_group_name_H-M_alt 'P 1'
_space_group_IT_number 1
_cell_length_a 3.3622
_cell_length_b 3.3622
_cell_length_c 8.5379
_cell_angle_alpha 90.00
_cell_angle_beta 90.00
_cell_angle_gamma 90.00
loop_
_space_group_symop_operation_xyz
'x,y,z'
loop_
_atom_site_label
_atom_site_type_symbol
_atom_site_fract_x
_atom_site_fract_y
_atom_site_fract_z
Tm1 Tm 0.0000 0.0000 0.1868
Tm2 Tm 0.0000 0.0000 0.8132
Lu1 Lu 0.5000 0.5000 0.5000
Co1 Co 0.5000 0.5000 0.0000

---

Record 7
# GGA-PBE ZrVFeRu, relaxed
# Energy relative to the elements = -4.229 kcal/mol of atoms
data_ZrVFeRu
_chemical_formula_sum 'Zr1 V1 Fe1 Ru1'
_space_group_name_H-M_alt 'P 1'
_space_group_IT_number 1
_cell_length_a 4.3932
_cell_length_b 4.3932
_cell_length_c 4.3932
_cell_angle_alpha 60.00
_cell_angle_beta 60.00
_cell_angle_gamma 60.00
loop_
_space_group_symop_operation_xyz
'x,y,z'
loop_
_atom_site_label
_atom_site_type_symbol
_atom_site_fract_x
_atom_site_fract_y
_atom_site_fract_z
Zr1 Zr 0.0000 0.0000 0.0000
V1 V 0.5000 0.5000 0.5000
Fe1 Fe 0.2500 0.2500 0.2500
Ru1 Ru 0.7500 0.7500 0.7500

---

Record 8
# GGA-PBE DyErPa2As4, relaxed
# Energy relative to the elements = -29.386 kcal/mol of atoms
data_DyErPa2As4
_chemical_formula_sum 'Dy1 Er1 Pa2 As4'
_space_group_name_H-M_alt 'P 1'
_space_group_IT_number 1
_cell_length_a 7.0803
_cell_length_b 4.0937
_cell_length_c 7.0896
_cell_angle_alpha 90.00
_cell_angle_beta 109.50
_cell_angle_gamma 90.00
loop_
_space_group_symop_operation_xyz
'x,y,z'
loop_
_atom_site_label
_atom_site_type_symbol
_atom_site_fract_x
_atom_site_fract_y
_atom_site_fract_z
Dy1 Dy 0.0000 0.0000 0.0000
Er1 Er 0.0000 0.5000 0.5000
Pa1 Pa 0.5000 0.0000 0.5000
Pa2 Pa 0.5000 0.5000 0.0000
As1 As 0.2499 0.0000 0.7489
As2 As 0.2507 0.5000 0.2514
As3 As 0.7493 0.5000 0.7486
As4 As 0.7501 0.0000 0.2511

---

M_tot in μB per atom, matching the order above: 0.0000, 0.0000, 0.0000, 0.3950, 0.0000, 0.3125, 0.2504, 0.0001